# 1
Density functional theory data (PBE-GGA) for a relaxed LaTlCdHg crystal.

Output
- ΔH_f (0 K) (eV per atom) = -0.366
- SG = F-43m, No. 216
- calculated volume (Å³/cell) = 107
- theoretical density (Mg/m³) = 10.15
- uncorrected energy (eV/atom) = -2.493

The structure in POSCAR format:
```
LaTlCdHg
1.0
5.3352 0.0000 0.0000
2.6676 4.6204 0.0000
2.6676 1.5401 4.3562
Tl Cd Hg La
1 1 1 1
direct
0.0000 0.0000 0.0000 Tl
0.7500 0.7500 0.7500 Cd
0.5000 0.5000 0.5000 Hg
0.2500 0.2500 0.2500 La
```

---

# 2
Density functional theory data (PBE-GGA) for a relaxed Rb2GeSe3 crystal.

Output
- uncorrected formation energy (eV per formula unit) = -4.8
- SG = C2/c, No. 15
- calculated volume (Å³/cell) = 414
- theoretical density (Mg/m³) = 3.85
- uncorrected energy (eV/atom) = -3.626

The structure in POSCAR format:
```
Rb2GeSe3
1.0
-4.6083 3.1237 4.7868
3.9749 -1.3836 6.6667
4.4199 6.1557 2.1752
Rb Ge Se
4 2 6
direct
0.6830 0.1810 0.5002 Rb
0.1830 0.5002 0.1810 Rb
0.8170 0.4998 0.8190 Rb
0.3170 0.8190 0.4998 Rb
0.7500 0.9184 0.0816 Ge
0.2500 0.0816 0.9184 Ge
0.2500 0.3481 0.6519 Se
0.7500 0.6519 0.3481 Se
0.9768 0.9148 0.8290 Se
0.5232 0.1710 0.0852 Se
0.4768 0.8290 0.9148 Se
0.0232 0.0852 0.1710 Se
```

---

# 3
Density functional theory data (PBE-GGA) for a relaxed SiSb2 crystal.

Output
- uncorrected formation energy (eV per formula unit) = 0.7
- SG = Pa-3, No. 205
- calculated volume (Å³/cell) = 305
- theoretical density (Mg/m³) = 5.92
- excess energy over the best structure of this formula in the dataset (meV/atom) = 64.3
- uncorrected energy (eV/atom) = -4.311

The structure in POSCAR format:
```
SiSb2
1.0
6.7298 0.0000 0.0000
0.0000 6.7298 0.0000
0.0000 0.0000 6.7298
Sb Si
8 4
direct
0.6232 0.6232 0.3768 Sb
0.3768 0.3768 0.6232 Sb
0.1232 0.8768 0.6232 Sb
0.8768 0.1232 0.3768 Sb
0.3768 0.1232 0.1232 Sb
0.6232 0.8768 0.8768 Sb
0.8768 0.3768 0.8768 Sb
0.1232 0.6232 0.1232 Sb
0.0000 0.0000 0.0000 Si
0.5000 0.5000 0.0000 Si
0.5000 0.0000 0.5000 Si
0.0000 0.5000 0.5000 Si
```

---

Question: Look up the calculated volume of the first one.
Answer: 107 Å³/cell

---

Question: Number 1 is which compound?
Answer: LaTlCdHg

---

Question: Number 1 is which compound?
Answer: LaTlCdHg

---

Question: Which formula does entry 1 have?
Answer: LaTlCdHg